Compound: SrGa2GeS6
Source: Alexandria
Functional: GGA-PBE
Structure: relaxed

Calculated values
Spin magnetization (μB/f.u.): 0.0
Uncorrected formation energy (meV per atom): -775
Space-group type: C2/c, No. 15

Geometry as CIF:
```
data_SrGa2GeS6
_symmetry_space_group_name_H-M 'P 1'
_symmetry_Int_Tables_number 1
_cell_length_a 8.8493
_cell_length_b 8.8493
_cell_length_c 7.4961
_cell_angle_alpha 110.60
_cell_angle_beta 110.60
_cell_angle_gamma 80.46
loop_
_symmetry_equiv_pos_as_xyz
'x,y,z'
loop_
_atom_site_label
_atom_site_type_symbol
_atom_site_fract_x
_atom_site_fract_y
_atom_site_fract_z
_atom_site_occupancy
Sr1 Sr 0.1785 0.8215 0.7500 1
Sr2 Sr 0.8215 0.1785 0.2500 1
Ga1 Ga 0.2424 0.3647 0.8543 1
Ga2 Ga 0.3647 0.2424 0.3543 1
Ga3 Ga 0.6353 0.7577 0.6457 1
Ga4 Ga 0.7577 0.6353 0.1457 1
Ge1 Ge 0.1787 0.8213 0.2500 1
Ge2 Ge 0.8213 0.1787 0.7500 1
S1 S 0.0434 0.1715 0.6616 1
S2 S 0.1203 0.6217 0.9569 1
S3 S 0.1715 0.0434 0.1616 1
S4 S 0.2735 0.4293 0.5930 1
S5 S 0.3783 0.8797 0.5431 1
S6 S 0.4293 0.2735 0.0930 1
S7 S 0.5707 0.7265 0.9070 1
S8 S 0.6217 0.1203 0.4569 1
S9 S 0.7265 0.5707 0.4070 1
S10 S 0.8285 0.9566 0.8384 1
S11 S 0.8797 0.3783 0.0431 1
S12 S 0.9566 0.8285 0.3384 1
```

Compound: SrGaGe2S6
Source: Alexandria
Functional: GGA-PBE
Structure: relaxed

Calculated values
N(E_F) (states/eV/cell): 5.7
Spin magnetization (μB/f.u.): 0.0
Uncorrected formation energy (meV per atom): -650
Space-group type: C2/c, No. 15

Geometry as CIF:
```
data_SrGaGe2S6
_symmetry_space_group_name_H-M 'P 1'
_symmetry_Int_Tables_number 1
_cell_length_a 8.8157
_cell_length_b 8.8157
_cell_length_c 7.9663
_cell_angle_alpha 112.73
_cell_angle_beta 112.73
_cell_angle_gamma 78.20
loop_
_symmetry_equiv_pos_as_xyz
'x,y,z'
loop_
_atom_site_label
_atom_site_type_symbol
_atom_site_fract_x
_atom_site_fract_y
_atom_site_fract_z
_atom_site_occupancy
Sr1 Sr 0.1758 0.8242 0.7500 1
Sr2 Sr 0.8242 0.1758 0.2500 1
Ga1 Ga 0.1882 0.8118 0.2500 1
Ga2 Ga 0.8118 0.1882 0.7500 1
Ge1 Ge 0.2376 0.3611 0.8485 1
Ge2 Ge 0.3611 0.2376 0.3485 1
Ge3 Ge 0.6389 0.7624 0.6515 1
Ge4 Ge 0.7624 0.6389 0.1515 1
S1 S 0.0415 0.1701 0.6624 1
S2 S 0.1161 0.6198 0.9443 1
S3 S 0.1701 0.0415 0.1624 1
S4 S 0.2827 0.4157 0.5957 1
S5 S 0.3802 0.8839 0.5557 1
S6 S 0.4157 0.2827 0.0957 1
S7 S 0.5843 0.7173 0.9043 1
S8 S 0.6198 0.1161 0.4443 1
S9 S 0.7173 0.5843 0.4043 1
S10 S 0.8299 0.9585 0.8376 1
S11 S 0.8839 0.3802 0.0557 1
S12 S 0.9585 0.8299 0.3376 1
```

Compound: TaGaGe2S
Source: Alexandria
Functional: GGA-PBE
Structure: relaxed

Calculated values
N(E_F) (states/eV/cell): 5.2
Spin magnetization (μB/f.u.): 1.3
Uncorrected formation energy (meV per atom): 816
Space-group type: P4/mmm, No. 123

Geometry as CIF:
```
data_TaGaGe2S
_symmetry_space_group_name_H-M 'P 1'
_symmetry_Int_Tables_number 1
_cell_length_a 5.0235
_cell_length_b 5.0235
_cell_length_c 5.1650
_cell_angle_alpha 90.00
_cell_angle_beta 90.00
_cell_angle_gamma 90.00
loop_
_symmetry_equiv_pos_as_xyz
'x,y,z'
loop_
_atom_site_label
_atom_site_type_symbol
_atom_site_fract_x
_atom_site_fract_y
_atom_site_fract_z
_atom_site_occupancy
Ta1 Ta 0.0000 0.0000 0.0000 1
Ga1 Ga 0.0000 0.0000 0.5000 1
Ge1 Ge 0.0000 0.5000 0.0000 1
Ge2 Ge 0.5000 0.0000 0.0000 1
S1 S 0.5000 0.5000 0.5000 1
```

Compound: Th4GaGeS2
Source: Alexandria
Functional: GGA-PBE
Structure: relaxed

Calculated values
N(E_F) (states/eV/cell): 5.2
Spin magnetization (μB/f.u.): 0.0
Uncorrected formation energy (meV per atom): -1191
Space-group type: P2/m, No. 10

Geometry as CIF:
```
data_Th4GaGeS2
_symmetry_space_group_name_H-M 'P 1'
_symmetry_Int_Tables_number 1
_cell_length_a 7.0778
_cell_length_b 4.2504
_cell_length_c 7.3819
_cell_angle_alpha 90.00
_cell_angle_beta 110.26
_cell_angle_gamma 90.00
loop_
_symmetry_equiv_pos_as_xyz
'x,y,z'
loop_
_atom_site_label
_atom_site_type_symbol
_atom_site_fract_x
_atom_site_fract_y
_atom_site_fract_z
_atom_site_occupancy
Th1 Th 0.2419 0.0000 0.2460 1
Th2 Th 0.2424 0.5000 0.7483 1
Th3 Th 0.7581 0.0000 0.7540 1
Th4 Th 0.7576 0.5000 0.2517 1
Ga1 Ga 0.5000 0.5000 0.5000 1
Ge1 Ge 0.5000 0.0000 0.0000 1
S1 S 0.0000 0.0000 0.5000 1
S2 S 0.0000 0.5000 0.0000 1
```

Compound: TiGaGeS2
Source: Alexandria
Functional: GGA-PBE
Structure: relaxed

Calculated values
N(E_F) (states/eV/cell): 4.3
Spin magnetization (μB/f.u.): 0.0
Uncorrected formation energy (meV per atom): -38
Space-group type: P4/mmm, No. 123

Geometry as CIF:
```
data_TiGaGeS2
_symmetry_space_group_name_H-M 'P 1'
_symmetry_Int_Tables_number 1
_cell_length_a 4.6526
_cell_length_b 4.6526
_cell_length_c 5.1053
_cell_angle_alpha 90.00
_cell_angle_beta 90.00
_cell_angle_gamma 90.00
loop_
_symmetry_equiv_pos_as_xyz
'x,y,z'
loop_
_atom_site_label
_atom_site_type_symbol
_atom_site_fract_x
_atom_site_fract_y
_atom_site_fract_z
_atom_site_occupancy
Ti1 Ti 0.0000 0.0000 0.0000 1
Ga1 Ga 0.0000 0.0000 0.5000 1
Ge1 Ge 0.5000 0.5000 0.5000 1
S1 S 0.0000 0.5000 0.0000 1
S2 S 0.5000 0.0000 0.0000 1
```

Compound: TlGa2GeS6
Source: Alexandria
Functional: GGA-PBE
Structure: relaxed

Calculated values
N(E_F) (states/eV/cell): 6.0
Spin magnetization (μB/f.u.): 0.0
Uncorrected formation energy (meV per atom): -325
Space-group type: C2/c, No. 15

Geometry as CIF:
```
data_TlGa2GeS6
_symmetry_space_group_name_H-M 'P 1'
_symmetry_Int_Tables_number 1
_cell_length_a 8.7874
_cell_length_b 8.7874
_cell_length_c 7.1679
_cell_angle_alpha 107.68
_cell_angle_beta 107.68
_cell_angle_gamma 85.08
loop_
_symmetry_equiv_pos_as_xyz
'x,y,z'
loop_
_atom_site_label
_atom_site_type_symbol
_atom_site_fract_x
_atom_site_fract_y
_atom_site_fract_z
_atom_site_occupancy
Tl1 Tl 0.1564 0.8436 0.7500 1
Tl2 Tl 0.8436 0.1564 0.2500 1
Ga1 Ga 0.2490 0.3794 0.8353 1
Ga2 Ga 0.3794 0.2490 0.3353 1
Ga3 Ga 0.6206 0.7510 0.6647 1
Ga4 Ga 0.7510 0.6206 0.1647 1
Ge1 Ge 0.1823 0.8177 0.2500 1
Ge2 Ge 0.8177 0.1823 0.7500 1
S1 S 0.0449 0.1800 0.6609 1
S2 S 0.1158 0.6189 0.9518 1
S3 S 0.1800 0.0449 0.1609 1
S4 S 0.2841 0.4383 0.5595 1
S5 S 0.3811 0.8842 0.5482 1
S6 S 0.4383 0.2841 0.0595 1
S7 S 0.5617 0.7159 0.9405 1
S8 S 0.6189 0.1158 0.4518 1
S9 S 0.7159 0.5617 0.4405 1
S10 S 0.8200 0.9551 0.8391 1
S11 S 0.8842 0.3811 0.0482 1
S12 S 0.9551 0.8200 0.3391 1
```

Compound: TlGaGe2S6
Source: Alexandria
Functional: GGA-PBE
Structure: relaxed

Calculated values
Spin magnetization (μB/f.u.): 0.0
Uncorrected formation energy (meV per atom): -302
Space-group type: C2/c, No. 15

Geometry as CIF:
```
data_TlGaGe2S6
_symmetry_space_group_name_H-M 'P 1'
_symmetry_Int_Tables_number 1
_cell_length_a 9.3994
_cell_length_b 9.3994
_cell_length_c 6.7833
_cell_angle_alpha 104.49
_cell_angle_beta 104.49
_cell_angle_gamma 94.97
loop_
_symmetry_equiv_pos_as_xyz
'x,y,z'
loop_
_atom_site_label
_atom_site_type_symbol
_atom_site_fract_x
_atom_site_fract_y
_atom_site_fract_z
_atom_site_occupancy
Tl1 Tl 0.1069 0.8931 0.7500 1
Tl2 Tl 0.8931 0.1069 0.2500 1
Ga1 Ga 0.2263 0.7737 0.2500 1
Ga2 Ga 0.7737 0.2263 0.7500 1
Ge1 Ge 0.2285 0.3784 0.8470 1
Ge2 Ge 0.3784 0.2285 0.3470 1
Ge3 Ge 0.6216 0.7715 0.6530 1
Ge4 Ge 0.7715 0.6216 0.1530 1
S1 S 0.0253 0.2045 0.7345 1
S2 S 0.1729 0.6108 0.9225 1
S3 S 0.2045 0.0253 0.2345 1
S4 S 0.3061 0.4142 0.5602 1
S5 S 0.3892 0.8271 0.5775 1
S6 S 0.4142 0.3061 0.0602 1
S7 S 0.5858 0.6939 0.9398 1
S8 S 0.6108 0.1729 0.4225 1
S9 S 0.6939 0.5858 0.4398 1
S10 S 0.7955 0.9747 0.7655 1
S11 S 0.8271 0.3892 0.0775 1
S12 S 0.9747 0.7955 0.2655 1
```

Compound: TlGaGeS2
Source: Alexandria
Functional: GGA-PBE
Structure: relaxed

Calculated values
N(E_F) (states/eV/cell): 3.9
Spin magnetization (μB/f.u.): 0.0
Uncorrected formation energy (meV per atom): 719
Space-group type: P4/mmm, No. 123

Geometry as CIF:
```
data_TlGaGeS2
_symmetry_space_group_name_H-M 'P 1'
_symmetry_Int_Tables_number 1
_cell_length_a 5.3250
_cell_length_b 5.3250
_cell_length_c 5.2144
_cell_angle_alpha 90.00
_cell_angle_beta 90.00
_cell_angle_gamma 90.00
loop_
_symmetry_equiv_pos_as_xyz
'x,y,z'
loop_
_atom_site_label
_atom_site_type_symbol
_atom_site_fract_x
_atom_site_fract_y
_atom_site_fract_z
_atom_site_occupancy
Tl1 Tl 0.0000 0.0000 0.0000 1
Ga1 Ga 0.5000 0.5000 0.5000 1
Ge1 Ge 0.0000 0.0000 0.5000 1
S1 S 0.0000 0.5000 0.0000 1
S2 S 0.5000 0.0000 0.0000 1
```

Compound: V8GaGeS16
Source: Alexandria
Functional: GGA-PBE
Structure: relaxed

Calculated values
N(E_F) (states/eV/cell): 9.1
Spin magnetization (μB/f.u.): 9.2
Uncorrected formation energy (meV per atom): -880
Space-group type: P-4m2, No. 115

Geometry as CIF:
```
data_V8GaGeS16
_symmetry_space_group_name_H-M 'P 1'
_symmetry_Int_Tables_number 1
_cell_length_a 6.8615
_cell_length_b 6.8615
_cell_length_c 9.7132
_cell_angle_alpha 90.00
_cell_angle_beta 90.00
_cell_angle_gamma 90.00
loop_
_symmetry_equiv_pos_as_xyz
'x,y,z'
loop_
_atom_site_label
_atom_site_type_symbol
_atom_site_fract_x
_atom_site_fract_y
_atom_site_fract_z
_atom_site_occupancy
V1 V 0.0000 0.2082 0.1047 1
V2 V 0.0000 0.7918 0.1047 1
V3 V 0.2082 0.0000 0.8953 1
V4 V 0.2895 0.5000 0.3955 1
V5 V 0.5000 0.2895 0.6045 1
V6 V 0.5000 0.7105 0.6045 1
V7 V 0.7105 0.5000 0.3955 1
V8 V 0.7918 0.0000 0.8953 1
Ga1 Ga 0.0000 0.0000 0.5000 1
Ge1 Ge 0.5000 0.5000 0.0000 1
S1 S 0.0000 0.2592 0.8708 1
S2 S 0.0000 0.2739 0.3621 1
S3 S 0.0000 0.7261 0.3621 1
S4 S 0.0000 0.7408 0.8708 1
S5 S 0.2278 0.5000 0.1357 1
S6 S 0.2408 0.5000 0.6294 1
S7 S 0.2592 0.0000 0.1292 1
S8 S 0.2739 0.0000 0.6379 1
S9 S 0.5000 0.2278 0.8643 1
S10 S 0.5000 0.2408 0.3706 1
S11 S 0.5000 0.7592 0.3706 1
S12 S 0.5000 0.7722 0.8643 1
S13 S 0.7261 0.0000 0.6379 1
S14 S 0.7408 0.0000 0.1292 1
S15 S 0.7592 0.5000 0.6294 1
S16 S 0.7722 0.5000 0.1357 1
```

Compound: Ga2GeWS
Source: Alexandria
Functional: GGA-PBE
Structure: relaxed

Calculated values
N(E_F) (states/eV/cell): 3.0
Spin magnetization (μB/f.u.): 4.1
Uncorrected formation energy (meV per atom): 1343
Space-group type: P4/mmm, No. 123

Geometry as CIF:
```
data_Ga2GeWS
_symmetry_space_group_name_H-M 'P 1'
_symmetry_Int_Tables_number 1
_cell_length_a 4.8171
_cell_length_b 4.8171
_cell_length_c 4.8448
_cell_angle_alpha 90.00
_cell_angle_beta 90.00
_cell_angle_gamma 90.00
loop_
_symmetry_equiv_pos_as_xyz
'x,y,z'
loop_
_atom_site_label
_atom_site_type_symbol
_atom_site_fract_x
_atom_site_fract_y
_atom_site_fract_z
_atom_site_occupancy
Ga1 Ga 0.0000 0.5000 0.0000 1
Ga2 Ga 0.5000 0.0000 0.0000 1
Ge1 Ge 0.0000 0.0000 0.0000 1
W1 W 0.5000 0.5000 0.5000 1
S1 S 0.0000 0.0000 0.5000 1
```

Compound: Ga2GeSb2
Source: Alexandria
Functional: GGA-PBE
Structure: relaxed

Calculated values
N(E_F) (states/eV/cell): 4.7
Polymorph energy (0 for the lowest one) (kJ/mol of atoms): 0.2
Spin magnetization (μB/f.u.): 0.0
Uncorrected formation energy (meV per atom): 192
Space-group type: P4/mbm, No. 127

Geometry as CIF:
```
data_Ga2GeSb2
_symmetry_space_group_name_H-M 'P 1'
_symmetry_Int_Tables_number 1
_cell_length_a 7.9892
_cell_length_b 7.9892
_cell_length_c 3.7386
_cell_angle_alpha 90.00
_cell_angle_beta 90.00
_cell_angle_gamma 90.00
loop_
_symmetry_equiv_pos_as_xyz
'x,y,z'
loop_
_atom_site_label
_atom_site_type_symbol
_atom_site_fract_x
_atom_site_fract_y
_atom_site_fract_z
_atom_site_occupancy
Ga1 Ga 0.1372 0.3628 0.0000 1
Ga2 Ga 0.3628 0.8628 0.0000 1
Ga3 Ga 0.6372 0.1372 0.0000 1
Ga4 Ga 0.8628 0.6372 0.0000 1
Ge1 Ge 0.0000 0.0000 0.5000 1
Ge2 Ge 0.5000 0.5000 0.5000 1
Sb1 Sb 0.1627 0.6627 0.5000 1
Sb2 Sb 0.3373 0.1627 0.5000 1
Sb3 Sb 0.6627 0.8373 0.5000 1
Sb4 Sb 0.8373 0.3373 0.5000 1
```

Compound: Ga2Ge2Sb
Source: Alexandria
Functional: GGA-PBE
Structure: relaxed

Calculated values
N(E_F) (states/eV/cell): 3.2
Polymorph energy (0 for the lowest one) (kJ/mol of atoms): 6.9
Spin magnetization (μB/f.u.): 0.0
Uncorrected formation energy (meV per atom): 227
Space-group type: I4/mmm, No. 139

Geometry as CIF:
```
data_Ga2Ge2Sb
_symmetry_space_group_name_H-M 'P 1'
_symmetry_Int_Tables_number 1
_cell_length_a 6.0578
_cell_length_b 6.0578
_cell_length_c 6.0578
_cell_angle_alpha 135.19
_cell_angle_beta 135.19
_cell_angle_gamma 65.24
loop_
_symmetry_equiv_pos_as_xyz
'x,y,z'
loop_
_atom_site_label
_atom_site_type_symbol
_atom_site_fract_x
_atom_site_fract_y
_atom_site_fract_z
_atom_site_occupancy
Ga1 Ga 0.2500 0.7500 0.5000 1
Ga2 Ga 0.7500 0.2500 0.5000 1
Ge1 Ge 0.1205 0.1205 0.0000 1
Ge2 Ge 0.8795 0.8795 0.0000 1
Sb1 Sb 0.5000 0.5000 0.0000 1
```

What is the uncorrected formation energy in the ninth record?
-880 meV per atom

Look up the uncorrected formation energy of the seventh one.
-302 meV per atom